MnAgTe2: relaxed, GGA-PBE.

Geometry as CIF:
```
data_MnAgTe2
_space_group_name_H-M_alt 'P 1'
_space_group_IT_number 1
_space_group_name_Hall 'P 1'
_cell_length_a 4.038
_cell_length_b 4.038
_cell_length_c 7.325
_cell_angle_alpha 106.10
_cell_angle_beta 106.10
_cell_angle_gamma 60.02
loop_
_atom_site_label
_atom_site_type_symbol
_atom_site_fract_x
_atom_site_fract_y
_atom_site_fract_z
Mn1 Mn 0.000 0.000 0.000
Ag1 Ag 0.500 0.500 0.500
Te1 Te 0.257 0.257 0.771
Te2 Te 0.743 0.743 0.229
```

Raw total energy in eV per atom: -4.6666
DOS at the Fermi energy in states/eV/cell: 1.18

---

MnAgTe2: relaxed, GGA-PBE.

Geometry as CIF:
```
data_MnAgTe2
_space_group_name_H-M_alt 'P 1'
_space_group_IT_number 1
_space_group_name_Hall 'P 1'
_cell_length_a 4.025
_cell_length_b 4.025
_cell_length_c 7.616
_cell_angle_alpha 90.00
_cell_angle_beta 90.00
_cell_angle_gamma 120.00
loop_
_atom_site_label
_atom_site_type_symbol
_atom_site_fract_x
_atom_site_fract_y
_atom_site_fract_z
Mn1 Mn 0.000 0.000 0.000
Ag1 Ag 0.333 0.667 0.449
Te1 Te 0.333 0.667 0.805
Te2 Te 0.667 0.333 0.215
```

Raw total energy in eV per atom: -4.6558
DOS at the Fermi energy in states/eV/cell: 2.02

---

MnAgTe2: relaxed, GGA-PBE.

Geometry as CIF:
```
data_MnAgTe2
_space_group_name_H-M_alt 'P 1'
_space_group_IT_number 1
_space_group_name_Hall 'P 1'
_cell_length_a 4.275
_cell_length_b 6.376
_cell_length_c 7.731
_cell_angle_alpha 83.06
_cell_angle_beta 87.37
_cell_angle_gamma 88.89
loop_
_atom_site_label
_atom_site_type_symbol
_atom_site_fract_x
_atom_site_fract_y
_atom_site_fract_z
Mn1 Mn 0.179 0.056 0.052
Mn2 Mn 0.821 0.944 0.948
Ag1 Ag 0.000 0.500 0.000
Ag2 Ag 0.500 0.000 0.500
Te1 Te 0.006 0.219 0.324
Te2 Te 0.476 0.736 0.180
Te3 Te 0.524 0.264 0.820
Te4 Te 0.994 0.781 0.676
```

Raw total energy in eV per atom: -4.5305
DOS at the Fermi energy in states/eV/cell: 4.22

---

Question: Among the records above, which one has the highest raw total energy?
Answer: number 3